# 1
VASP calculation (PBE) on an optimized crystal structure of YBe2.

Structure (POSCAR):
```
YBe2
1.0
-1.9329 1.9329 6.7579
1.9329 -1.9329 6.7579
1.9329 1.9329 -6.7579
Y Be
2 4
Cartesian
1.9329 0.9664 1.6895
0.0000 0.9664 5.0684
1.9329 -0.9664 3.9335
1.9329 -0.9664 6.2033
0.0000 2.8993 0.5546
0.0000 2.8993 2.8244
```

Values from the calculation:
space-group type	I4_1/amd
energy of formation	0.134	eV per formula unit
magnetization	0.00	μB per formula unit
DFT total energy	-4.594	eV per atom

=====

# 2
VASP calculation (PBE) on an optimized crystal structure of Pm3Y3Tm8.

Structure (POSCAR):
```
Pm3Y3Tm8
1.0
-2.7993 5.3985 7.4430
2.7993 -5.3985 7.4430
2.7993 5.3985 -7.4430
Pm Y Tm
3 3 8
Cartesian
0.0000 0.0000 0.0000
2.7993 0.0000 2.7556
0.0000 5.3985 4.6873
2.7993 2.1803 0.0000
0.0000 0.0000 7.4430
0.0000 3.2181 7.4430
2.7993 3.6661 -3.3023
2.7993 -1.6912 5.9091
0.0000 1.7324 4.1407
0.0000 3.7073 1.5339
2.7993 1.6912 5.9091
2.7993 3.6661 3.3023
0.0000 7.0897 1.5339
0.0000 1.7324 10.7453
```

Values from the calculation:
distance to the lowest polymorph of the same formula	0	meV per atom
space-group type	Immm
energy of formation	1.619	eV per formula unit
magnetization	0.00	μB per formula unit
DFT total energy	-4.843	eV per atom

=====

# 3
VASP calculation (PBE) on an optimized crystal structure of Pm2Pr2Os.

Structure (POSCAR):
```
Pm2Pr2Os
1.0
3.8049 -6.1531 0.0000
3.8049 6.1531 0.0000
-3.2327 0.0000 6.8450
Pm Pr Os
4 4 2
Cartesian
0.9724 3.3867 5.0966
3.4047 3.3867 1.7483
0.9724 -3.3867 5.0966
3.4047 -3.3867 1.7483
-0.0818 0.0000 4.0664
1.7752 0.0000 0.6885
2.6019 0.0000 6.1565
4.4589 0.0000 2.7785
2.1886 1.5780 3.4225
2.1886 -1.5780 3.4225
```

Values from the calculation:
space-group type	C2/m
energy of formation	-0.100	eV per formula unit
magnetization	0.00	μB per formula unit
DFT total energy	-6.078	eV per atom